Compound: Cs3Fe2Cl8
Source: the Alexandria database
Functional: PBE-GGA
Structure: relaxed

The structure in POSCAR format:
```
Cs3Fe2Cl8
1.0
3.7136 2.1440 9.5596
-3.7136 2.1440 9.5596
0.0000 -4.2881 9.5596
Cs Fe Cl
3 2 8
Direct
0.0000 0.0000 0.0000
0.2086 0.2086 0.2086
0.7914 0.7914 0.7914
0.4089 0.4089 0.4089
0.5911 0.5911 0.5911
0.2345 0.7291 0.7291
0.2709 0.2709 0.7655
0.2709 0.7655 0.2709
0.3309 0.3309 0.3309
0.6691 0.6691 0.6691
0.7291 0.2345 0.7291
0.7291 0.7291 0.2345
0.7655 0.2709 0.2709
```

Calculated values
The total energy is -4.06 eV/atom. Its space group is R-3m. The formation energy (no corrections) is -1421 meV/atom.

---

Compound: Cs2FeCl4
Source: the Alexandria database
Functional: PBE-GGA
Structure: relaxed

The structure in POSCAR format:
```
Cs2FeCl4
1.0
7.3665 0.0000 0.0000
0.0000 7.4879 0.0000
-3.2724 0.0000 9.4119
Cs Fe Cl
4 2 8
Direct
0.1931 0.2500 0.4188
0.2987 0.2500 0.9645
0.7013 0.7500 0.0355
0.8069 0.7500 0.5812
0.2971 0.7500 0.2172
0.7029 0.2500 0.7828
0.0889 0.7500 0.3458
0.1520 0.7500 0.9732
0.4978 0.5064 0.2757
0.4978 0.9936 0.2757
0.5022 0.0064 0.7243
0.5022 0.4936 0.7243
0.8480 0.2500 0.0268
0.9111 0.2500 0.6542
```

Calculated values
The total energy is -3.99 eV/atom. Its space group is P2_1/m. The formation energy (no corrections) is -1487 meV/atom.

---

Compound: Cs2FeCl4
Source: the Alexandria database
Functional: PBE-GGA
Structure: relaxed

The structure in POSCAR format:
```
Cs2FeCl4
1.0
5.1451 0.0000 0.0000
0.0000 5.1451 0.0000
0.0000 0.0000 16.9057
Cs Fe Cl
4 2 8
Direct
0.0000 0.0000 0.1417
0.0000 0.0000 0.8583
0.5000 0.5000 0.3583
0.5000 0.5000 0.6417
0.0000 0.0000 0.5000
0.5000 0.5000 0.0000
0.0000 0.0000 0.3551
0.0000 0.0000 0.6449
0.0000 0.5000 0.0000
0.0000 0.5000 0.5000
0.5000 0.0000 0.0000
0.5000 0.0000 0.5000
0.5000 0.5000 0.1449
0.5000 0.5000 0.8551
```

Calculated values
The total energy is -3.94 eV/atom. Its space group is I4/mmm. The formation energy (no corrections) is -1436 meV/atom.